Here is a geometry-optimized BeIr3Pd structure from Alexandria via LeMat-Bulk. Energies are from PBE.

Cell: 4.734 4.734 4.734 Å, 90.00 90.00 90.00°
Positions (direct):
Be (0.000, 0.000, 0.000)
Ir (0.000, 0.500, 0.500)
Ir (0.500, 0.000, 0.500)
Ir (0.500, 0.500, 0.000)
Pd (0.500, 0.500, 0.500)

Formation energy: 2404.7 meV per atom
Space-group type: Pm-3m, No. 221
Energy above the most stable polymorph in this dataset: 1919 meV/atom

Here is a geometry-optimized Be2IrPd structure from Alexandria via LeMat-Bulk. Energies are from PBE.

Cell: 3.978 3.978 3.978 Å, 60.00 60.00 60.00°
Positions (direct):
Be (0.250, 0.250, 0.250)
Be (0.750, 0.750, 0.750)
Ir (0.000, 0.000, 0.000)
Pd (0.500, 0.500, 0.500)

Formation energy: -596.2 meV per atom
Space-group type: Fm-3m, No. 225
Energy above the most stable polymorph in this dataset: 41 meV/atom

Here is a geometry-optimized Be2Ir2Pd structure from Alexandria via LeMat-Bulk. Energies are from PBE.

Cell: 6.421 6.421 2.897 Å, 90.00 90.00 90.00°
Positions (direct):
Be (0.129, 0.371, 0.000)
Be (0.371, 0.871, 0.000)
Be (0.629, 0.129, 0.000)
Be (0.871, 0.629, 0.000)
Ir (0.164, 0.664, 0.500)
Ir (0.336, 0.164, 0.500)
Ir (0.664, 0.836, 0.500)
Ir (0.836, 0.336, 0.500)
Pd (0.000, 0.000, 0.000)
Pd (0.500, 0.500, 0.000)

Formation energy: -311.0 meV per atom
Space-group type: P4/mbm, No. 127
Energy above the most stable polymorph in this dataset: 0 meV/atom

Here is a geometry-optimized BeIr2Pd2 structure from Alexandria via LeMat-Bulk. Energies are from PBE.

Cell: 6.854 6.854 6.854 Å, 150.05 150.05 42.87°
Positions (direct):
Be (0.000, 0.000, 0.000)
Ir (0.407, 0.407, 0.000)
Ir (0.593, 0.593, 0.000)
Pd (0.250, 0.750, 0.500)
Pd (0.750, 0.250, 0.500)

Formation energy: 614.2 meV per atom
Space-group type: I4/mmm, No. 139
Energy above the most stable polymorph in this dataset: 460 meV/atom

Here is a geometry-optimized Be2Ir2Pd structure from Alexandria via LeMat-Bulk. Energies are from PBE.

Cell: 6.834 6.834 2.714 Å, 90.00 90.00 90.00°
Positions (direct):
Be (0.163, 0.337, 0.000)
Be (0.337, 0.837, 0.000)
Be (0.663, 0.163, 0.000)
Be (0.837, 0.663, 0.000)
Ir (0.135, 0.635, 0.500)
Ir (0.365, 0.135, 0.500)
Ir (0.635, 0.865, 0.500)
Ir (0.865, 0.365, 0.500)
Pd (0.000, 0.000, 0.500)
Pd (0.500, 0.500, 0.500)

Formation energy: -135.4 meV per atom
Space-group type: P4/mbm, No. 127
Energy above the most stable polymorph in this dataset: 176 meV/atom

Here is a geometry-optimized BeIr3Pd structure from Alexandria via LeMat-Bulk. Energies are from PBE.

Cell: 4.138 4.138 4.138 Å, 90.00 90.00 90.00°
Positions (direct):
Be (0.000, 0.000, 0.000)
Ir (0.000, 0.000, 0.500)
Ir (0.000, 0.500, 0.000)
Ir (0.500, 0.000, 0.000)
Pd (0.500, 0.500, 0.500)

Formation energy: 485.8 meV per atom
Space-group type: Pm-3m, No. 221
Energy above the most stable polymorph in this dataset: 0 meV/atom

Here is a geometry-optimized Be4IrPd structure from Alexandria via LeMat-Bulk. Energies are from PBE.

Cell: 4.394 4.394 4.394 Å, 60.00 60.00 60.00°
Positions (direct):
Be (0.125, 0.125, 0.125)
Be (0.125, 0.125, 0.626)
Be (0.125, 0.626, 0.125)
Be (0.626, 0.125, 0.125)
Ir (0.750, 0.750, 0.750)
Pd (0.500, 0.500, 0.500)

Formation energy: -389.2 meV per atom
Space-group type: F-43m, No. 216
Energy above the most stable polymorph in this dataset: 0 meV/atom

Here is a geometry-optimized Be2IrPd structure from Alexandria via LeMat-Bulk. Energies are from PBE.

Cell: 5.046 5.046 5.046 Å, 107.11 107.11 114.31°
Positions (direct):
Be (0.124, 0.625, 0.999)
Be (0.375, 0.374, 0.499)
Be (0.626, 0.125, 0.001)
Be (0.875, 0.876, 0.501)
Ir (0.000, 0.000, 0.000)
Ir (0.750, 0.250, 0.500)
Pd (0.250, 0.750, 0.500)
Pd (0.500, 0.500, 0.000)

Formation energy: -72.0 meV per atom
Space-group type: I-42d, No. 122
Energy above the most stable polymorph in this dataset: 565 meV/atom

Here is a geometry-optimized Be4IrPd structure from Alexandria via LeMat-Bulk. Energies are from PBE.

Cell: 2.716 3.766 6.710 Å, 90.00 90.00 90.00°
Positions (direct):
Be (0.000, 0.000, 0.201)
Be (0.000, 0.000, 0.799)
Be (0.500, 0.500, 0.283)
Be (0.500, 0.500, 0.717)
Ir (0.000, 0.500, 0.000)
Pd (0.500, 0.000, 0.500)

Formation energy: -177.8 meV per atom
Space-group type: Pmmm, No. 47
Energy above the most stable polymorph in this dataset: 211 meV/atom

Here is a geometry-optimized Be2IrPdRu structure from Alexandria via LeMat-Bulk. Energies are from PBE.

Cell: 4.020 4.020 4.948 Å, 90.00 90.00 90.00°
Positions (direct):
Be (0.000, 0.500, 0.000)
Be (0.500, 0.000, 0.000)
Ir (0.000, 0.000, 0.500)
Pd (0.000, 0.000, 0.000)
Ru (0.500, 0.500, 0.500)

Formation energy: 1123.5 meV per atom
Space-group type: P4/mmm, No. 123
Energy above the most stable polymorph in this dataset: 73 meV/atom

Here is a geometry-optimized Be2IrPdRu structure from Alexandria via LeMat-Bulk. Energies are from PBE.

Cell: 4.109 4.109 4.923 Å, 90.00 90.00 90.00°
Positions (direct):
Be (0.000, 0.500, 0.000)
Be (0.500, 0.000, 0.000)
Ir (0.000, 0.000, 0.000)
Pd (0.000, 0.000, 0.500)
Ru (0.500, 0.500, 0.500)

Formation energy: 1050.5 meV per atom
Space-group type: P4/mmm, No. 123
Energy above the most stable polymorph in this dataset: 0 meV/atom

Here is a geometry-optimized Sr2BeIrPd structure from Alexandria via LeMat-Bulk. Energies are from PBE.

Cell: 5.734 5.734 4.798 Å, 90.00 90.00 90.00°
Positions (direct):
Sr (0.000, 0.500, 0.000)
Sr (0.500, 0.000, 0.000)
Be (0.000, 0.000, 0.500)
Ir (0.500, 0.500, 0.500)
Pd (0.500, 0.500, 0.000)

Formation energy: 644.1 meV per atom
Space-group type: P4/mmm, No. 123